AcPm2Tl2: relaxed, PBE-GGA.

Results
N(E_F) ... 10.908 states/eV per cell
Symmetry ... I4/mmm
Energy relative to the elements ... -0.13 eV per atom
DFT total energy ... -3.799 eV/atom

Cell lengths 5.1854, 5.1854, 13.8579 Å; angles 100.78, 100.78, 90.00 degrees
Fractional positions:
Ac (0.6291, 0.6291, 0.2581)
Ac (0.3709, 0.3709, 0.7419)
Pm (0.7500, 0.2500, 0.5000)
Pm (0.9324, 0.9324, 0.8648)
Pm (0.0676, 0.0676, 0.1352)
Pm (0.2500, 0.7500, 0.5000)
Tl (0.0000, 0.5000, 0.0000)
Tl (0.1808, 0.1808, 0.3616)
Tl (0.5000, 0.0000, 0.0000)
Tl (0.8192, 0.8192, 0.6384)

***

AcPmTl: relaxed, PBE-GGA.

Results
N(E_F) ... 4.354 states/eV per cell
Symmetry ... F-43m
Energy relative to the elements ... -0.04 eV per atom
DFT total energy ... -3.784 eV/atom

Cell lengths 5.4940, 5.4940, 5.4940 Å; angles 60.00, 60.00, 60.00 degrees
Site moments in Bohr magnetons follow the coordinates.
Fractional positions:
Ac (0.5000, 0.5000, 0.5000)  0.09
Tl (0.2500, 0.2500, 0.2500)  -0.01
Pm (0.0000, 0.0000, 0.0000)  0.17